Material: CrBi2N3
Method: DFT, GGA-PBE
State: optimized geometry

## Properties
N(E_F) ... 2.865 states/eV/f.u.
Crystal system ... monoclinic
Raw formation energy ... 0.3148 eV/atom
Spin magnetization ... 0.00 μB per cell
SG ... C2/c, No. 15

a = 6.5531 Å, b = 6.5531 Å, c = 12.5319 Å
α = 88.49°, β = 88.49°, γ = 128.83°
Closest atoms and distances in Å follow each position.
Atoms (fractional coordinates):
1 Bi 0.6074 0.9146 0.6178  3 N 2.34-2.37
2 Bi 0.9146 0.6074 0.1178  3 N 2.34-2.37
3 Bi 0.1041 0.3583 0.4468  2 N 2.32-2.59
4 Bi 0.0854 0.3926 0.8822  3 N 2.34-2.37
5 Bi 0.3926 0.0854 0.3822  3 N 2.34-2.37
6 Bi 0.6417 0.8959 0.0532  2 N 2.32-2.59
7 Bi 0.3583 0.1041 0.9468  2 N 2.32-2.59
8 Bi 0.8959 0.6417 0.5532  2 N 2.32-2.59
9 N 0.5474 0.7068 0.8892  1 Cr 1.75
10 N 0.2932 0.4526 0.6108  1 Cr 1.75
11 N 0.9368 0.6263 0.9306  1 Cr 1.84
12 N 0.9692 0.0308 0.2500  2 Cr 1.78
13 N 0.5910 0.4090 0.7500  2 Cr 1.77
14 N 0.3737 0.0632 0.5694  1 Cr 1.84
15 N 0.7068 0.5474 0.3892  1 Cr 1.75
16 N 0.0308 0.9692 0.7500  2 Cr 1.78
17 N 0.4090 0.5910 0.2500  2 Cr 1.77
18 N 0.4526 0.2932 0.1108  1 Cr 1.75
19 N 0.6263 0.9368 0.4306  1 Cr 1.84
20 N 0.0632 0.3737 0.0694  1 Cr 1.84
21 Cr 0.2231 0.3152 0.1702  4 N 1.75-1.84
22 Cr 0.6848 0.7769 0.3298  4 N 1.75-1.84
23 Cr 0.3152 0.2231 0.6702  4 N 1.75-1.84
24 Cr 0.7769 0.6848 0.8298  4 N 1.75-1.84